The following is a PBE-GGA calculation of crystalline PmCd3Ag3 at its relaxed geometry, from Alexandria.

Properties
**E**: -1.889 eV/atom
**Energy of formation**: 39 kJ/mol of atoms
**Fermi-level density of states**: 4.38 states/eV/f.u.
**Magnetization**: 0.0 μB per formula unit

a b c (Å): 7.446 7.446 7.446
angles (deg): 90.00 90.00 90.00
Space group Pm-3n (No. 223)
One atom of each set of equivalent atoms:
Pm 0.000 0.000 0.000
Cd 0.000 0.250 0.500
Ag 0.000 0.500 0.250